1.
Compound: Li2In3
Source: Alexandria via LeMat-Bulk
Functional: PBEsol
Structure: optimized geometry

Computed properties:
**Crystal system**: trigonal
**Energy relative to the elements**: -0.176 eV/atom
**SG**: R-3m (166)
**Distance to the lowest polymorph of the same formula**: 18 meV/atom

a b c (Å): 3.2420 3.2420 12.0032
angles (deg): 82.24 82.24 60.00
Last column: nearest neighbours and their distance in Å.
Sites, in units of the cell vectors:
In 0.0000 0.0000 0.0000  6 Li 3.01, 6 In 3.24
In 0.2031 0.2031 0.3908  3 Li 2.95, 9 In 3.20-3.24
In 0.7969 0.7969 0.6092  3 Li 2.95, 9 In 3.20-3.24
Li 0.6006 0.6006 0.1983  6 In 2.95-3.01, 6 Li 3.24
Li 0.3994 0.3994 0.8017  6 In 2.95-3.01, 6 Li 3.24

***

2.
Compound: Nb2CrB2
Source: Alexandria via LeMat-Bulk
Functional: PBEsol
Structure: optimized geometry

Computed properties:
**Crystal system**: tetragonal
**Energy relative to the elements**: -0.670 eV/atom
**SG**: P4/mbm (127)

a b c (Å): 3.2322 5.9097 5.9097
angles (deg): 90.00 90.00 90.00
Last column: nearest neighbours and their distance in Å.
Sites, in units of the cell vectors:
Cr 0.0000 0.0000 0.0000  4 B 2.39
Cr 0.0000 0.5000 0.5000  4 B 2.39
Nb 0.5000 0.1810 0.6810  6 B 2.37-2.40
Nb 0.5000 0.6810 0.8190  6 B 2.37-2.40
Nb 0.5000 0.8190 0.3190  6 B 2.37-2.40
Nb 0.5000 0.3190 0.1810  6 B 2.37-2.40
B 0.0000 0.3890 0.8890  1 B 1.85
B 0.0000 0.8890 0.6110  1 B 1.85
B 0.0000 0.6110 0.1110  1 B 1.85
B 0.0000 0.1110 0.3890  1 B 1.85

***

3.
Compound: MnCrRu2
Source: Alexandria via LeMat-Bulk
Functional: PBEsol
Structure: optimized geometry

Computed properties:
**Crystal system**: orthorhombic
**Energy relative to the elements**: 0.068 eV/atom
**SG**: Amm2 (38)

a b c (Å): 2.6166 3.9224 4.9001
angles (deg): 90.00 105.49 90.00
Last column: nearest neighbours and their distance in Å.
Sites, in units of the cell vectors:
Ru 0.0794 0.0000 0.1588  3 Cr 2.53-2.55, 4 Mn 2.59, 6 Ru 2.62-2.77
Ru 0.4256 0.5000 0.8513  3 Mn 2.52-2.56, 4 Cr 2.59, 6 Ru 2.62-2.77
Mn 0.6922 0.5000 0.3844  2 Cr 2.26, 1 Ru 2.52
Cr 0.8111 0.0000 0.6222  2 Mn 2.26

***

4.
Compound: Ca2InCo
Source: Alexandria via LeMat-Bulk
Functional: PBEsol
Structure: optimized geometry

Computed properties:
**Crystal system**: cubic
**Energy relative to the elements**: 0.128 eV/atom
**SG**: F-43m (216)

a b c (Å): 4.9334 4.9342 4.9334
angles (deg): 60.01 90.00 119.99
Last column: nearest neighbours and their distance in Å.
Sites, in units of the cell vectors:
Ca 0.0000 0.0000 0.0000  4 Ca 3.02, 4 In 3.02
Ca 0.2500 0.5000 0.2500  4 Ca 3.02, 4 Co 3.02
Co 0.5000 0.0000 0.5000  4 In 3.02, 4 Ca 3.02
In 0.7500 0.5000 0.7500  4 Co 3.02, 4 Ca 3.02

***

5.
Compound: Ag2H12SN4O4
Source: Alexandria via LeMat-Bulk
Functional: PBEsol
Structure: optimized geometry

Computed properties:
**Crystal system**: tetragonal
**SG**: P-42_1c (114)

a b c (Å): 6.1537 8.4645 8.4645
angles (deg): 90.00 90.00 90.00
Last column: nearest neighbours and their distance in Å.
Sites, in units of the cell vectors:
Ag 0.0002 0.5000 0.0000  2 N 2.08
Ag 0.4998 0.0000 0.5000  2 N 2.08
Ag 0.9998 0.0000 0.5000  2 N 2.08
Ag 0.5002 0.5000 0.0000  2 N 2.08
H 0.8791 0.5966 0.7104  1 N 1.04
H 0.6209 0.9034 0.2104  1 N 1.04
H 0.8791 0.4034 0.2896  1 N 1.04
H 0.6209 0.0966 0.7896  1 N 1.04
H 0.1209 0.2896 0.5966  1 N 1.04
H 0.3791 0.7896 0.9034  1 N 1.04
H 0.1209 0.7104 0.4034  1 N 1.04
H 0.3791 0.2104 0.0966  1 N 1.04
H 0.0489 0.7259 0.7969  1 N 1.04
H 0.4511 0.7741 0.2969  1 N 1.04
H 0.0489 0.2741 0.2031  1 N 1.04
H 0.4511 0.2259 0.7031  1 N 1.04
H 0.9511 0.2031 0.7259  1 N 1.04
H 0.5489 0.7031 0.7741  1 N 1.04
H 0.9511 0.7969 0.2741  1 N 1.04
H 0.5489 0.2969 0.2259  1 N 1.04
H 0.1463 0.5566 0.7178  1 N 1.04
H 0.3537 0.9434 0.2178  1 N 1.04
H 0.1463 0.4434 0.2822  1 N 1.04
H 0.3537 0.0566 0.7822  1 N 1.04
H 0.8537 0.2822 0.5566  1 N 1.04
H 0.6463 0.7822 0.9434  1 N 1.04
H 0.8537 0.7178 0.4434  1 N 1.04
H 0.6463 0.2178 0.0566  1 N 1.04
S 0.5000 0.5000 0.5000  4 O 1.49
S 0.0000 0.0000 0.0000  4 O 1.49
N 0.0176 0.6068 0.7791  3 H 1.04
N 0.4824 0.8932 0.2791  3 H 1.04
N 0.0176 0.3932 0.2209  3 H 1.04
N 0.4824 0.1068 0.7209  3 H 1.04
N 0.9824 0.2209 0.6068  3 H 1.04
N 0.5176 0.7209 0.8932  3 H 1.04
N 0.9824 0.7791 0.3932  3 H 1.04
N 0.5176 0.2791 0.1068  3 H 1.04
O 0.6394 0.6254 0.5709  1 S 1.49
O 0.8606 0.8746 0.0709  1 S 1.49
O 0.6394 0.3746 0.4291  1 S 1.49
O 0.8606 0.1254 0.9291  1 S 1.49
O 0.3607 0.4291 0.6254  1 S 1.49
O 0.1394 0.9291 0.8746  1 S 1.49
O 0.3607 0.5709 0.3746  1 S 1.49
O 0.1394 0.0709 0.1254  1 S 1.49

***

6.
Compound: Rb5Zr4F21
Source: Alexandria via LeMat-Bulk
Functional: PBEsol
Structure: optimized geometry

Computed properties:
**Crystal system**: monoclinic
**SG**: P2_1 (4)
**Formation energy (no corrections)**: -105.9 eV per formula unit

a b c (Å): 7.7998 11.1470 11.5401
angles (deg): 90.00 98.51 90.00
Last column: nearest neighbours and their distance in Å.
Sites, in units of the cell vectors:
Rb 0.3231 0.5261 0.1073  6 F 2.71-3.01
Rb 0.6769 0.0261 0.8927  6 F 2.71-3.01
Rb 0.0271 0.4865 0.7414  9 F 2.79-3.11
Rb 0.9729 0.9865 0.2586  9 F 2.79-3.11
Rb 0.1614 0.8221 0.8980  8 F 2.73-3.02
Rb 0.8386 0.3221 0.1020  8 F 2.73-3.02
Rb 0.1944 0.6393 0.4542  7 F 2.76-3.04
Rb 0.8056 0.1393 0.5458  7 F 2.76-3.04
Rb 0.2817 0.9757 0.6097  6 F 2.71-3.00
Rb 0.7183 0.4757 0.3903  6 F 2.71-3.00
Zr 0.4652 0.8408 0.2744  7 F 1.98-2.18
Zr 0.5348 0.3408 0.7256  7 F 1.98-2.18
Zr 0.8317 0.6967 0.0902  6 F 1.97-2.11
Zr 0.1683 0.1967 0.9098  6 F 1.97-2.11
Zr 0.4991 0.6610 0.7686  8 F 2.00-2.24
Zr 0.5009 0.1610 0.2314  8 F 2.00-2.24
Zr 0.7863 0.7999 0.5900  6 F 1.98-2.13
Zr 0.2137 0.2999 0.4100  6 F 1.98-2.13
F 0.9434 0.9028 0.7048  1 Zr 2.02
F 0.0566 0.4028 0.2952  1 Zr 2.02
F 0.6194 0.9338 0.5922  1 Zr 1.98
F 0.3806 0.4338 0.4078  1 Zr 1.98
F 0.9553 0.8720 0.4924  1 Zr 2.02
F 0.0447 0.3720 0.5076  1 Zr 2.02
F 0.4823 0.8356 0.8062  1 Zr 2.00
F 0.5177 0.3356 0.1938  1 Zr 2.00
F 0.8899 0.6389 0.5595  1 Zr 2.02
F 0.1101 0.1389 0.4405  1 Zr 2.02
F 0.4316 0.6651 0.2982  1 Zr 2.00
F 0.5684 0.1651 0.7018  1 Zr 2.00
F 0.5474 0.6922 0.5948  2 Zr 2.12-2.22
F 0.4526 0.1922 0.4052  2 Zr 2.12-2.22
F 0.3344 0.7954 0.1198  1 Zr 1.99
F 0.3457 0.5952 0.8789  1 Zr 2.01
F 0.2977 0.8675 0.3846  1 Zr 1.98
F 0.7023 0.3675 0.6154  1 Zr 1.98
F 0.6138 0.9968 0.3248  2 Zr 2.12-2.24
F 0.3862 0.4968 0.6752  2 Zr 2.12-2.24
F 0.0047 0.1121 0.9957  1 Zr 1.97
F 0.9953 0.6121 0.0043  1 Zr 1.97
F 0.9948 0.2097 0.7673  1 Zr 1.97
F 0.0052 0.7097 0.2327  1 Zr 1.97
F 0.3402 0.0051 0.2028  2 Zr 2.14-2.18, 1 F 2.38
F 0.6598 0.5051 0.7972  2 Zr 2.14-2.18, 1 F 2.38
F 0.1028 0.3565 0.9686  1 Zr 2.00
F 0.8972 0.8565 0.0314  1 Zr 2.00
F 0.2310 0.2240 0.2427  2 Zr 2.13-2.24, 1 F 2.38
F 0.7690 0.7240 0.7573  2 Zr 2.13-2.24, 1 F 2.38
F 0.2789 0.0546 0.8462  1 Zr 1.99
F 0.7211 0.5546 0.1538  1 Zr 1.99
F 0.3245 0.3073 0.8197  2 Zr 2.11-2.13
F 0.6755 0.8073 0.1803  2 Zr 2.11-2.13
F 0.3405 0.2877 0.5861  2 Zr 2.13
F 0.6595 0.7877 0.4139  2 Zr 2.13
F 0.7402 0.2095 0.3143  1 Zr 2.04
F 0.2598 0.7095 0.6857  1 Zr 2.04
F 0.3594 0.1831 0.0507  2 Zr 2.04-2.22
F 0.6406 0.6831 0.9493  2 Zr 2.04-2.22
F 0.6656 0.2954 0.8802  1 Zr 1.99
F 0.6543 0.0952 0.1211  1 Zr 2.01

***

7.
Compound: RbAlSb2Te
Source: Alexandria via LeMat-Bulk
Functional: PBEsol
Structure: optimized geometry

Computed properties:
**Crystal system**: tetragonal
**SG**: P4/mmm (123)
**Formation energy (no corrections)**: 0.2 eV per formula unit

a b c (Å): 5.3234 5.3234 5.6337
angles (deg): 90.00 90.00 90.00
Last column: nearest neighbours and their distance in Å.
Sites, in units of the cell vectors:
Sb 0.0000 0.5000 0.0000  2 Al 2.66
Sb 0.5000 0.0000 0.0000  2 Al 2.66
Te 0.0000 0.0000 0.5000  2 Al 2.82
Al 0.0000 0.0000 0.0000  4 Sb 2.66, 2 Te 2.82
Rb 0.5000 0.5000 0.5000  4 Te 3.76, 8 Sb 3.88

***

8.
Compound: CdPtSe2N
Source: Alexandria via LeMat-Bulk
Functional: PBEsol
Structure: optimized geometry

Computed properties:
**Crystal system**: tetragonal
**SG**: P4/mmm (123)
**Formation energy (no corrections)**: 1.8 eV per formula unit

a b c (Å): 3.6208 5.2129 5.2129
angles (deg): 90.00 90.00 90.00
Last column: nearest neighbours and their distance in Å.
Sites, in units of the cell vectors:
N 0.5000 0.0000 0.0000  2 Pt 1.81
Se 0.0000 0.0000 0.5000  2 Pt 2.61
Se 0.0000 0.5000 0.0000  2 Pt 2.61
Pt 0.0000 0.0000 0.0000  2 N 1.81
Cd 0.5000 0.5000 0.5000  8 Se 3.17

***

Calculated total energy (computed, eV/cell): -13.761, -98.532, -40.078, -14.473, -241.094, -375.660, -17.589, -22.603